--- one ---
Compound: NdErIr
Source: Alexandria
Functional: PBE-GGA
Structure: optimized geometry

## Properties
symmetry: C2/m (12)

Lattice parameters (Å, degrees): 4.5642 4.5642 8.0189 106.51 106.51 90.05
With the nearest neighbours (Å) after each atom.
Atoms (fractional coordinates):
Nd 0.1860 0.1860 0.3713  1 Ir 2.80
Nd 0.8140 0.8140 0.6287  1 Ir 2.80
Er 0.0000 0.5000 0.0000  4 Ir 2.92, 4 Er 3.23
Er 0.5000 0.0000 0.0000  4 Ir 2.92, 4 Er 3.23
Ir 0.3762 0.3762 0.7525  1 Nd 2.80, 4 Er 2.92
Ir 0.6238 0.6238 0.2475  1 Nd 2.80, 4 Er 2.92

--- two ---
Compound: NdErIr
Source: Alexandria
Functional: PBE-GGA
Structure: optimized geometry

## Properties
symmetry: P-1 (2)

Lattice parameters (Å, degrees): 4.8688 4.8700 6.8615 90.06 90.11 90.00
With the nearest neighbours (Å) after each atom.
Atoms (fractional coordinates):
Nd 0.0020 0.4989 0.2500  4 Ir 2.97-2.98
Nd 0.9980 0.5011 0.7500  4 Ir 2.97-2.98
Er 0.4983 0.0010 0.7501  4 Ir 2.97-2.99
Er 0.5017 0.9990 0.2499  4 Ir 2.97-2.99
Ir 0.0000 0.0000 0.5000  4 Er 2.97-2.99, 4 Nd 2.98
Ir 0.5000 0.5000 0.0000  4 Er 2.97-2.98, 4 Nd 2.97-2.98

The computed energies, referenced to the most stable structure and given in meV per atom, are one 40; two 0.